(1)
Density functional theory data (GGA-PBE) for a relaxed TcSnIN2 crystal.

Lattice parameters (Å, degrees): 4.101 4.101 5.477 90.00 90.00 90.00
Sites, in units of the cell vectors:
Tc (0.000, 0.000, 0.000)
Sn (0.500, 0.500, 0.500)
I (0.000, 0.000, 0.500)
N (0.000, 0.500, 0.000)
N (0.500, 0.000, 0.000)

Computed properties:
Formation energy from raw total energies ... 0.932 eV/atom
Distance to the lowest polymorph of the same formula ... 0.0 meV/atom
DFT total energy ... -5.581 eV/atom
Calculated density ... 6.7 g cm⁻³
Total magnetization ... 0.00 μB per cell
Symmetry ... P4/mmm



(2)
Density functional theory data (GGA-PBE) for a relaxed SnTe2IN crystal.

Lattice parameters (Å, degrees): 5.773 5.773 6.155 90.00 90.00 90.00
Sites, in units of the cell vectors:
Sn (0.000, 0.000, 0.000)
Te (0.000, 0.500, 0.000)
Te (0.500, 0.000, 0.000)
I (0.000, 0.000, 0.500)
N (0.500, 0.500, 0.500)

Computed properties:
Formation energy from raw total energies ... 1.282 eV/atom
Distance to the lowest polymorph of the same formula ... 639.5 meV/atom
DFT total energy ... -2.750 eV/atom
Calculated density ... 4.2 g cm⁻³
Total magnetization ... 3.46 μB per cell
Symmetry ... P4/mmm



(3)
Density functional theory data (GGA-PBE) for a relaxed SnTeI2N crystal.

Lattice parameters (Å, degrees): 4.956 4.956 5.280 90.00 90.00 90.00
Sites, in units of the cell vectors:
Sn (0.000, 0.000, 0.000)
Te (0.500, 0.500, 0.000)
I (0.000, 0.500, 0.500)
I (0.500, 0.000, 0.500)
N (0.500, 0.500, 0.500)

Computed properties:
Formation energy from raw total energies ... 0.708 eV/atom
Distance to the lowest polymorph of the same formula ... 67.4 meV/atom
DFT total energy ... -3.006 eV/atom
Calculated density ... 6.6 g cm⁻³
Total magnetization ... 0.00 μB per cell
Symmetry ... P4/mmm



(4)
Density functional theory data (GGA-PBE) for a relaxed SnTeIN2 crystal.

Lattice parameters (Å, degrees): 4.193 4.193 7.531 90.00 90.00 90.00
Sites, in units of the cell vectors:
Sn (0.000, 0.000, 0.000)
Te (0.500, 0.500, 0.000)
I (0.500, 0.500, 0.500)
N (0.000, 0.500, 0.500)
N (0.500, 0.000, 0.500)

Computed properties:
Formation energy from raw total energies ... 1.676 eV/atom
Distance to the lowest polymorph of the same formula ... 388.4 meV/atom
DFT total energy ... -3.393 eV/atom
Calculated density ... 5.0 g cm⁻³
Total magnetization ... 0.00 μB per cell
Symmetry ... P4/mmm



(5)
Density functional theory data (GGA-PBE) for a relaxed SnTe2IN crystal.

Lattice parameters (Å, degrees): 5.007 5.007 4.911 90.00 90.00 90.00
Sites, in units of the cell vectors:
Sn (0.000, 0.000, 0.000)
Te (0.000, 0.500, 0.500)
Te (0.500, 0.000, 0.500)
I (0.500, 0.500, 0.000)
N (0.500, 0.500, 0.500)

Computed properties:
Formation energy from raw total energies ... 0.642 eV/atom
Distance to the lowest polymorph of the same formula ... 0.0 meV/atom
DFT total energy ... -3.390 eV/atom
Calculated density ... 6.9 g cm⁻³
Total magnetization ... 0.00 μB per cell
Symmetry ... P4/mmm



(6)
Density functional theory data (GGA-PBE) for a relaxed SnTe2IN crystal.

Lattice parameters (Å, degrees): 6.068 6.068 3.909 90.00 90.00 90.00
Sites, in units of the cell vectors:
Sn (0.000, 0.000, 0.000)
Te (0.000, 0.500, 0.000)
Te (0.500, 0.000, 0.000)
I (0.500, 0.500, 0.500)
N (0.000, 0.000, 0.500)

Computed properties:
Formation energy from raw total energies ... 0.816 eV/atom
Distance to the lowest polymorph of the same formula ... 173.3 meV/atom
DFT total energy ... -3.217 eV/atom
Calculated density ... 5.9 g cm⁻³
Total magnetization ... 0.40 μB per cell
Symmetry ... P4/mmm



(7)
Density functional theory data (GGA-PBE) for a relaxed SnTeI2N crystal.

Lattice parameters (Å, degrees): 6.099 6.099 5.893 90.00 90.00 90.00
Sites, in units of the cell vectors:
Sn (0.000, 0.000, 0.000)
Te (0.000, 0.000, 0.500)
I (0.000, 0.500, 0.000)
I (0.500, 0.000, 0.000)
N (0.500, 0.500, 0.500)

Computed properties:
Formation energy from raw total energies ... 1.080 eV/atom
Distance to the lowest polymorph of the same formula ... 439.7 meV/atom
DFT total energy ... -2.634 eV/atom
Calculated density ... 3.9 g cm⁻³
Total magnetization ... 4.35 μB per cell
Symmetry ... P4/mmm



(8)
Density functional theory data (GGA-PBE) for a relaxed SnTeIN2 crystal.

Lattice parameters (Å, degrees): 4.256 4.256 6.655 90.00 90.00 90.00
Sites, in units of the cell vectors:
Sn (0.000, 0.000, 0.000)
Te (0.500, 0.500, 0.500)
I (0.500, 0.500, 0.000)
N (0.000, 0.500, 0.500)
N (0.500, 0.000, 0.500)

Computed properties:
Formation energy from raw total energies ... 1.423 eV/atom
Distance to the lowest polymorph of the same formula ... 135.9 meV/atom
DFT total energy ... -3.646 eV/atom
Calculated density ... 5.5 g cm⁻³
Total magnetization ... 0.00 μB per cell
Symmetry ... P4/mmm



(9)
Density functional theory data (GGA-PBE) for a relaxed SnTeIN2 crystal.

Lattice parameters (Å, degrees): 4.275 4.275 7.372 90.00 90.00 90.00
Sites, in units of the cell vectors:
Sn (0.000, 0.000, 0.000)
Te (0.500, 0.500, 0.500)
I (0.000, 0.000, 0.500)
N (0.000, 0.500, 0.000)
N (0.500, 0.000, 0.000)

Computed properties:
Formation energy from raw total energies ... 1.390 eV/atom
Distance to the lowest polymorph of the same formula ... 102.6 meV/atom
DFT total energy ... -3.679 eV/atom
Calculated density ... 4.9 g cm⁻³
Total magnetization ... 2.34 μB per cell
Symmetry ... P4/mmm



(10)
Density functional theory data (GGA-PBE) for a relaxed SnTe2IN crystal.

Lattice parameters (Å, degrees): 6.049 6.049 3.989 90.00 90.00 90.00
Sites, in units of the cell vectors:
Sn (0.000, 0.000, 0.000)
Te (0.000, 0.500, 0.500)
Te (0.500, 0.000, 0.500)
I (0.500, 0.500, 0.500)
N (0.500, 0.500, 0.000)

Computed properties:
Formation energy from raw total energies ... 1.019 eV/atom
Distance to the lowest polymorph of the same formula ... 377.0 meV/atom
DFT total energy ... -3.013 eV/atom
Calculated density ... 5.9 g cm⁻³
Total magnetization ... 0.00 μB per cell
Symmetry ... P4/mmm



(11)
Density functional theory data (GGA-PBE) for a relaxed SnTeI2N crystal.

Lattice parameters (Å, degrees): 6.202 6.202 3.854 90.00 90.00 90.00
Sites, in units of the cell vectors:
Sn (0.000, 0.000, 0.000)
Te (0.500, 0.500, 0.500)
I (0.000, 0.500, 0.000)
I (0.500, 0.000, 0.000)
N (0.000, 0.000, 0.500)

Computed properties:
Formation energy from raw total energies ... 0.706 eV/atom
Distance to the lowest polymorph of the same formula ... 66.3 meV/atom
DFT total energy ... -3.008 eV/atom
Calculated density ... 5.8 g cm⁻³
Total magnetization ... 0.00 μB per cell
Symmetry ... P4/mmm



(12)
Density functional theory data (GGA-PBE) for a relaxed SnTeI2N crystal.

Lattice parameters (Å, degrees): 6.361 6.361 4.008 90.00 90.00 90.00
Sites, in units of the cell vectors:
Sn (0.000, 0.000, 0.000)
Te (0.500, 0.500, 0.500)
I (0.000, 0.500, 0.500)
I (0.500, 0.000, 0.500)
N (0.500, 0.500, 0.000)

Computed properties:
Formation energy from raw total energies ... 0.640 eV/atom
Distance to the lowest polymorph of the same formula ... 0.0 meV/atom
DFT total energy ... -3.074 eV/atom
Calculated density ... 5.3 g cm⁻³
Total magnetization ... 0.00 μB per cell
Symmetry ... P4/mmm



(13)
Density functional theory data (GGA-PBE) for a relaxed SnTeIN2 crystal.

Lattice parameters (Å, degrees): 4.349 4.349 6.317 90.00 90.00 90.00
Sites, in units of the cell vectors:
Sn (0.000, 0.000, 0.000)
Te (0.000, 0.000, 0.500)
I (0.500, 0.500, 0.500)
N (0.000, 0.500, 0.000)
N (0.500, 0.000, 0.000)

Computed properties:
Formation energy from raw total energies ... 1.288 eV/atom
Distance to the lowest polymorph of the same formula ... 0.0 meV/atom
DFT total energy ... -3.782 eV/atom
Calculated density ... 5.6 g cm⁻³
Total magnetization ... 2.68 μB per cell
Symmetry ... P4/mmm



(14)
Density functional theory data (GGA-PBE) for a relaxed TlSnI2N crystal.

Lattice parameters (Å, degrees): 6.293 6.293 3.965 90.00 90.00 90.00
Sites, in units of the cell vectors:
Tl (0.000, 0.000, 0.000)
Sn (0.500, 0.500, 0.500)
I (0.000, 0.500, 0.500)
I (0.500, 0.000, 0.500)
N (0.500, 0.500, 0.000)

Computed properties:
Formation energy from raw total energies ... 0.211 eV/atom
Distance to the lowest polymorph of the same formula ... 0.0 meV/atom
DFT total energy ... -3.348 eV/atom
Calculated density ... 6.2 g cm⁻³
Total magnetization ... 0.06 μB per cell
Symmetry ... P4/mmm



(15)
Density functional theory data (GGA-PBE) for a relaxed TlSnI2N crystal.

Lattice parameters (Å, degrees): 6.337 6.337 4.069 90.00 90.00 90.00
Sites, in units of the cell vectors:
Tl (0.000, 0.000, 0.000)
Sn (0.500, 0.500, 0.500)
I (0.000, 0.500, 0.000)
I (0.500, 0.000, 0.000)
N (0.000, 0.000, 0.500)

Computed properties:
Formation energy from raw total energies ... 0.775 eV/atom
Distance to the lowest polymorph of the same formula ... 564.3 meV/atom
DFT total energy ... -2.784 eV/atom
Calculated density ... 6.0 g cm⁻³
Total magnetization ... 0.57 μB per cell
Symmetry ... P4/mmm



(16)
Density functional theory data (GGA-PBE) for a relaxed TlSnIN2 crystal.

Lattice parameters (Å, degrees): 4.469 4.469 6.253 90.00 90.00 90.00
Sites, in units of the cell vectors:
Tl (0.000, 0.000, 0.000)
Sn (0.500, 0.500, 0.500)
I (0.500, 0.500, 0.000)
N (0.000, 0.500, 0.500)
N (0.500, 0.000, 0.500)

Computed properties:
Formation energy from raw total energies ... 1.109 eV/atom
Distance to the lowest polymorph of the same formula ... 0.0 meV/atom
DFT total energy ... -3.805 eV/atom
Calculated density ... 6.4 g cm⁻³
Total magnetization ... 2.25 μB per cell
Symmetry ... P4/mmm



(17)
Density functional theory data (GGA-PBE) for a relaxed TlSnIN2 crystal.

Lattice parameters (Å, degrees): 4.537 4.537 6.287 90.00 90.00 90.00
Sites, in units of the cell vectors:
Tl (0.000, 0.000, 0.000)
Sn (0.500, 0.500, 0.500)
I (0.000, 0.000, 0.500)
N (0.000, 0.500, 0.000)
N (0.500, 0.000, 0.000)

Computed properties:
Formation energy from raw total energies ... 1.639 eV/atom
Distance to the lowest polymorph of the same formula ... 530.3 meV/atom
DFT total energy ... -3.275 eV/atom
Calculated density ... 6.1 g cm⁻³
Total magnetization ... 1.99 μB per cell
Symmetry ... P4/mmm



(18)
Density functional theory data (GGA-PBE) for a relaxed VSnI2N crystal.

Lattice parameters (Å, degrees): 5.763 5.763 3.732 90.00 90.00 90.00
Sites, in units of the cell vectors:
V (0.000, 0.000, 0.000)
Sn (0.500, 0.500, 0.500)
I (0.000, 0.500, 0.000)
I (0.500, 0.000, 0.000)
N (0.000, 0.000, 0.500)

Computed properties:
Formation energy from raw total energies ... 0.049 eV/atom
Distance to the lowest polymorph of the same formula ... 0.0 meV/atom
DFT total energy ... -4.860 eV/atom
Calculated density ... 5.9 g cm⁻³
Total magnetization ... 1.35 μB per cell
Symmetry ... P4/mmm



(19)
Density functional theory data (GGA-PBE) for a relaxed VSnI2N crystal.

Lattice parameters (Å, degrees): 6.090 6.090 3.871 90.00 90.00 90.00
Sites, in units of the cell vectors:
V (0.000, 0.000, 0.000)
Sn (0.500, 0.500, 0.500)
I (0.000, 0.500, 0.500)
I (0.500, 0.000, 0.500)
N (0.500, 0.500, 0.000)

Computed properties:
Formation energy from raw total energies ... 0.904 eV/atom
Distance to the lowest polymorph of the same formula ... 854.6 meV/atom
DFT total energy ... -4.006 eV/atom
Calculated density ... 5.1 g cm⁻³
Total magnetization ... 3.80 μB per cell
Symmetry ... P4/mmm



(20)
Density functional theory data (GGA-PBE) for a relaxed SnWIN2 crystal.

Lattice parameters (Å, degrees): 4.142 4.142 6.273 90.00 90.00 90.00
Sites, in units of the cell vectors:
Sn (0.000, 0.000, 0.000)
W (0.500, 0.500, 0.500)
I (0.000, 0.000, 0.500)
N (0.000, 0.500, 0.000)
N (0.500, 0.000, 0.000)

Computed properties:
Formation energy from raw total energies ... 2.156 eV/atom
Distance to the lowest polymorph of the same formula ... 1387.3 meV/atom
DFT total energy ... -4.876 eV/atom
Calculated density ... 7.1 g cm⁻³
Total magnetization ... 2.74 μB per cell
Symmetry ... P4/mmm